This record from the Alexandria database describes a geometry-optimized La3Si2Pt9 structure. The functional is PBE.

## Properties
For the uncorrected formation energy, the calculation gives -13.54 eV/f.u. The value obtained for the density of states at the Fermi level is 0.6373 states/eV/atom.

Cell lengths 6.332, 6.332, 15.528 Å; angles 90.00, 90.00, 120.00 degrees
Positions (direct):
Si: 0.667 0.333 0.343
Si: 0.667 0.333 0.157
Si: 0.333 0.667 0.657
Si: 0.333 0.667 0.843
La: 0.667 0.333 0.574
La: 0.000 0.000 0.750
La: 0.333 0.667 0.074
La: 0.333 0.667 0.426
La: 0.667 0.333 0.926
La: 0.000 0.000 0.250
Pt: 0.036 0.518 0.250
Pt: 0.518 0.482 0.750
Pt: 0.149 0.851 0.923
Pt: 0.482 0.518 0.250
Pt: 0.851 0.149 0.423
Pt: 0.149 0.851 0.577
Pt: 0.298 0.149 0.077
Pt: 0.851 0.702 0.423
Pt: 0.298 0.149 0.423
Pt: 0.518 0.036 0.750
Pt: 0.851 0.702 0.077
Pt: 0.702 0.851 0.923
Pt: 0.482 0.964 0.250
Pt: 0.702 0.851 0.577
Pt: 0.964 0.482 0.750
Pt: 0.149 0.298 0.577
Pt: 0.851 0.149 0.077
Pt: 0.149 0.298 0.923

This record from the Alexandria database describes a geometry-optimized Pr2PuCo structure. The functional is PBE.

## Properties
The energy above the most stable polymorph in this dataset comes out at 204.9 meV/atom. The value obtained for the density of states at the Fermi level is 3.0569 states/eV/atom.

Cell lengths 3.672, 3.672, 10.609 Å; angles 80.04, 80.04, 60.00 degrees
Last column: magnetic moment on the atom in μB.
Positions (direct):
Pr: 0.111 0.111 0.666  0.01
Pr: 0.889 0.889 0.334  0.01
Co: 0.500 0.500 0.500  0.04
Pu: 0.000 0.000 0.000  5.80

This record from the Alexandria database describes a geometry-optimized BaSrMo4 structure. The functional is PBE.

## Properties
As for the final energy: -41.5 eV/cell. The value obtained for the density of states at the Fermi level is 1.3412 states/eV/atom.

Cell lengths 5.698, 5.698, 5.698 Å; angles 60.00, 60.00, 60.00 degrees
Positions (direct):
Ba: 0.000 0.000 0.000
Sr: 0.750 0.750 0.750
Mo: 0.875 0.375 0.375
Mo: 0.375 0.375 0.875
Mo: 0.375 0.375 0.375
Mo: 0.375 0.875 0.375

| no. | volume (Å³/atom) |
| --- | --- |
| 1 | 19.26 |
| 2 | 30.34 |
| 3 | 21.80 |